# PBEsol Sc4Pb, optimized geometry
# relative energy among the computed polymorphs	0.455	eV/atom
# space-group type	I4/mmm (139)
data_Sc4Pb
_symmetry_space_group_name_H-M 'P 1'
_symmetry_Int_Tables_number 1
_cell_length_a 8.0872
_cell_length_b 8.0872
_cell_length_c 8.0872
_cell_angle_alpha 151.09
_cell_angle_beta 151.09
_cell_angle_gamma 41.34
loop_
_symmetry_equiv_pos_as_xyz
'x,y,z'
loop_
_atom_site_label
_atom_site_fract_x
_atom_site_fract_y
_atom_site_fract_z
Sc1 0.0886 0.0886 0.0000
Sc2 0.2500 0.7500 0.5000
Sc3 0.7500 0.2500 0.5000
Sc4 0.9114 0.9114 0.0000
Pb1 0.5000 0.5000 0.0000

---

# PBEsol Sc2Pb, optimized geometry
# space-group type	Cmcm (63)
data_Sc2Pb
_symmetry_space_group_name_H-M 'P 1'
_symmetry_Int_Tables_number 1
_cell_length_a 7.7085
_cell_length_b 7.7085
_cell_length_c 4.4921
_cell_angle_alpha 90.00
_cell_angle_beta 90.00
_cell_angle_gamma 149.23
loop_
_symmetry_equiv_pos_as_xyz
'x,y,z'
loop_
_atom_site_label
_atom_site_fract_x
_atom_site_fract_y
_atom_site_fract_z
Sc1 0.0784 0.9216 0.7500
Sc2 0.2512 0.7488 0.2500
Sc3 0.7488 0.2512 0.7500
Sc4 0.9216 0.0784 0.2500
Pb1 0.4012 0.5988 0.7500
Pb2 0.5988 0.4012 0.2500

---

# PBEsol Sc8Pb, optimized geometry
# space-group type	I4/mmm (139)
data_Sc8Pb
_symmetry_space_group_name_H-M 'P 1'
_symmetry_Int_Tables_number 1
_cell_length_a 7.2312
_cell_length_b 7.2312
_cell_length_c 7.2312
_cell_angle_alpha 95.32
_cell_angle_beta 95.32
_cell_angle_gamma 144.55
loop_
_symmetry_equiv_pos_as_xyz
'x,y,z'
loop_
_atom_site_label
_atom_site_fract_x
_atom_site_fract_y
_atom_site_fract_z
Sc1 0.0000 0.3366 0.3366
Sc2 0.0000 0.6634 0.6634
Sc3 0.3356 0.3356 0.6712
Sc4 0.3356 0.6644 0.0000
Sc5 0.3366 0.0000 0.3366
Sc6 0.6634 0.0000 0.6634
Sc7 0.6644 0.3356 0.0000
Sc8 0.6644 0.6644 0.3288
Pb1 0.0000 0.0000 0.0000

---

# PBEsol Sc4Pb, optimized geometry
# relative energy among the computed polymorphs	0.679	eV/atom
# space-group type	Im-3m (229)
data_Sc4Pb
_symmetry_space_group_name_H-M 'P 1'
_symmetry_Int_Tables_number 1
_cell_length_a 5.7265
_cell_length_b 5.7265
_cell_length_c 5.7265
_cell_angle_alpha 109.47
_cell_angle_beta 109.47
_cell_angle_gamma 109.47
loop_
_symmetry_equiv_pos_as_xyz
'x,y,z'
loop_
_atom_site_label
_atom_site_fract_x
_atom_site_fract_y
_atom_site_fract_z
Sc1 0.0000 0.0000 0.5000
Sc2 0.0000 0.5000 0.0000
Sc3 0.5000 0.0000 0.0000
Sc4 0.5000 0.5000 0.5000
Pb1 0.0000 0.0000 0.0000

---

# PBEsol ScPb5, optimized geometry
# relative energy among the computed polymorphs	0.000	eV/atom
# space-group type	P4/mmm (123)
data_ScPb5
_symmetry_space_group_name_H-M 'P 1'
_symmetry_Int_Tables_number 1
_cell_length_a 3.4244
_cell_length_b 3.4244
_cell_length_c 14.2473
_cell_angle_alpha 90.00
_cell_angle_beta 90.00
_cell_angle_gamma 90.00
loop_
_symmetry_equiv_pos_as_xyz
'x,y,z'
loop_
_atom_site_label
_atom_site_fract_x
_atom_site_fract_y
_atom_site_fract_z
Sc1 0.0000 0.0000 0.0000
Pb1 0.0000 0.0000 0.3238
Pb2 0.0000 0.0000 0.6762
Pb3 0.5000 0.5000 0.1442
Pb4 0.5000 0.5000 0.5000
Pb5 0.5000 0.5000 0.8558

---

# PBEsol ScPb4, optimized geometry
# space-group type	Im-3m (229)
data_ScPb4
_symmetry_space_group_name_H-M 'P 1'
_symmetry_Int_Tables_number 1
_cell_length_a 5.8321
_cell_length_b 5.8321
_cell_length_c 5.8321
_cell_angle_alpha 109.47
_cell_angle_beta 109.47
_cell_angle_gamma 109.47
loop_
_symmetry_equiv_pos_as_xyz
'x,y,z'
loop_
_atom_site_label
_atom_site_fract_x
_atom_site_fract_y
_atom_site_fract_z
Sc1 0.0000 0.0000 0.0000
Pb1 0.0000 0.0000 0.5000
Pb2 0.0000 0.5000 0.0000
Pb3 0.5000 0.0000 0.0000
Pb4 0.5000 0.5000 0.5000

---

# PBEsol ScPb2, optimized geometry
# space-group type	P4/mmm (123)
data_ScPb2
_symmetry_space_group_name_H-M 'P 1'
_symmetry_Int_Tables_number 1
_cell_length_a 5.0609
_cell_length_b 5.0609
_cell_length_c 3.3229
_cell_angle_alpha 90.00
_cell_angle_beta 90.00
_cell_angle_gamma 90.00
loop_
_symmetry_equiv_pos_as_xyz
'x,y,z'
loop_
_atom_site_label
_atom_site_fract_x
_atom_site_fract_y
_atom_site_fract_z
Sc1 0.0000 0.0000 0.0000
Pb1 0.0000 0.5000 0.5000
Pb2 0.5000 0.0000 0.5000

---

# PBEsol Sc5Pb4, optimized geometry
# space-group type	P6_3/mcm (193)
data_Sc5Pb4
_symmetry_space_group_name_H-M 'P 1'
_symmetry_Int_Tables_number 1
_cell_length_a 8.8385
_cell_length_b 8.8385
_cell_length_c 6.1965
_cell_angle_alpha 90.00
_cell_angle_beta 90.00
_cell_angle_gamma 120.00
loop_
_symmetry_equiv_pos_as_xyz
'x,y,z'
loop_
_atom_site_label
_atom_site_fract_x
_atom_site_fract_y
_atom_site_fract_z
Sc1 0.0000 0.2744 0.2500
Sc2 0.0000 0.7256 0.7500
Sc3 0.2744 0.0000 0.2500
Sc4 0.2744 0.2744 0.7500
Sc5 0.3333 0.6667 0.0000
Sc6 0.3333 0.6667 0.5000
Sc7 0.6667 0.3333 0.0000
Sc8 0.6667 0.3333 0.5000
Sc9 0.7256 0.0000 0.7500
Sc10 0.7256 0.7256 0.2500
Pb1 0.0000 0.0000 0.0000
Pb2 0.0000 0.0000 0.5000
Pb3 0.0000 0.3875 0.7500
Pb4 0.0000 0.6125 0.2500
Pb5 0.3875 0.0000 0.7500
Pb6 0.3875 0.3875 0.2500
Pb7 0.6125 0.0000 0.2500
Pb8 0.6125 0.6125 0.7500

---

| no. | raw total energy (eV/f.u.) |
| --- | --- |
| 1 | -29.25 |
| 2 | -18.44 |
| 3 | -57.86 |
| 4 | -28.13 |
| 5 | -27.04 |
| 6 | -23.00 |
| 7 | -15.22 |
| 8 | -53.31 |